Record 1
TmNiSnC | PBE-GGA | relaxed

Lattice parameters (Å, degrees): 4.6200 4.6200 7.1017 90.00 90.00 120.00
Closest atoms and distances in Å follow each position.
Element x y z (fractional)
Tm 0.3333 0.6667 0.0000  1 C 2.40
Tm 0.6667 0.3333 0.5000  1 C 2.40
Ni 0.3333 0.6667 0.5934  1 C 1.82
Ni 0.6667 0.3333 0.0934  1 C 1.82
Sn 0.0000 0.0000 0.2326  3 C 2.77, 3 Ni 2.84
Sn 0.0000 0.0000 0.7326  3 C 2.77, 3 Ni 2.84
C 0.3333 0.6667 0.3373  1 Ni 1.82
C 0.6667 0.3333 0.8373  1 Ni 1.82

Energy (Ha/atom): -0.2063
Volume (Å³/atom): 16.41
Excess energy over the best structure of this formula in the dataset (eV/atom): 0.1749
Theoretical density (g/cm³): 9.07

***

Record 2
TmNiSnC | PBE-GGA | relaxed

Lattice parameters (Å, degrees): 4.2259 4.2259 8.5570 90.00 90.00 120.00
Closest atoms and distances in Å follow each position.
Element x y z (fractional)
Tm 0.0000 0.0000 0.0000  2 C 2.53, 6 Ni 2.78
Tm 0.3333 0.6667 0.5000  2 Ni 2.94, 6 C 3.00, 6 Sn 3.20
Ni 0.3333 0.6667 0.1562  3 Sn 2.59, 1 Ni 2.67, 3 C 2.72, 3 Tm 2.78
Ni 0.3333 0.6667 0.8438  3 Sn 2.59, 1 Ni 2.67, 3 C 2.72, 3 Tm 2.78
Sn 0.6667 0.3333 0.2580  3 C 2.46, 3 Ni 2.59
Sn 0.6667 0.3333 0.7420  3 C 2.46, 3 Ni 2.59
C 0.0000 0.0000 0.2958  3 Sn 2.46, 1 Tm 2.53, 3 Ni 2.72
C 0.0000 0.0000 0.7042  3 Sn 2.46, 1 Tm 2.53, 3 Ni 2.72

Energy (Ha/atom): -0.1995
Volume (Å³/atom): 16.54
Excess energy over the best structure of this formula in the dataset (eV/atom): 0.3598
Theoretical density (g/cm³): 8.99